Entry 1:
Entry from Alexandria: an optimized crystal structure of Si3PbI (GGA-PBE).

Lattice parameters (Å, degrees): 5.327 5.327 5.327 90.00 90.00 90.00
Element x y z (fractional)
Pb (0.500, 0.500, 0.500)
I (0.000, 0.000, 0.000)
Si (0.000, 0.500, 0.000)
Si (0.000, 0.000, 0.500)
Si (0.500, 0.000, 0.000)

Values from the calculation:
symmetry	Pm-3m (221)
formation energy from raw total energies	1.389	eV/atom

---

Entry 2:
Entry from Alexandria: an optimized crystal structure of LaNdTmHg (GGA-PBE).

Lattice parameters (Å, degrees): 3.710 3.710 8.907 90.00 90.00 90.00
Element x y z (fractional)
La (0.000, 0.000, 0.083)
Nd (0.500, 0.500, 0.789)
Tm (0.500, 0.500, 0.361)
Hg (0.000, 0.000, 0.552)

Values from the calculation:
ΔH_f (0 K)	-227	meV/atom
symmetry	P4mm (99)

---

Entry 3:
Entry from Alexandria: an optimized crystal structure of ThMgHg (GGA-PBE).

Lattice parameters (Å, degrees): 3.457 3.457 6.871 104.57 104.57 90.00
Element x y z (fractional)
Mg (0.313, 0.313, 0.625)
Hg (0.684, 0.684, 0.368)
Th (0.004, 0.004, 0.007)

Values from the calculation:
ΔH_f (0 K)	-149	meV/atom
symmetry	I4mm (107)

---

Entry 4:
Entry from Alexandria: an optimized crystal structure of InSnRh2 (GGA-PBE).

Lattice parameters (Å, degrees): 3.128 3.128 7.055 90.00 90.00 90.00
Element x y z (fractional)
Rh (0.000, 0.000, 0.760)
Rh (0.000, 0.000, 0.240)
Sn (0.500, 0.500, 0.000)
In (0.500, 0.500, 0.500)

Values from the calculation:
ΔH_f (0 K)	-386	meV/atom
symmetry	P4/mmm (123)

---

Entry 5:
Entry from Alexandria: an optimized crystal structure of KCa2N2 (GGA-PBE).

Lattice parameters (Å, degrees): 7.328 7.328 3.093 90.00 90.00 90.00
Element x y z (fractional)
Ca (0.137, 0.637, 0.500)
Ca (0.637, 0.863, 0.500)
Ca (0.863, 0.363, 0.500)
Ca (0.363, 0.137, 0.500)
K (0.000, 0.000, 0.000)
K (0.500, 0.500, 0.000)
N (0.338, 0.838, 0.000)
N (0.838, 0.662, 0.000)
N (0.662, 0.162, 0.000)
N (0.162, 0.338, 0.000)

Values from the calculation:
symmetry	P4/mbm (127)
formation energy from raw total energies	-0.005	eV/atom

---

Entry 6:
Entry from Alexandria: an optimized crystal structure of Te2RhSI (GGA-PBE).

Lattice parameters (Å, degrees): 5.180 5.180 5.337 90.00 90.00 90.00
Element x y z (fractional)
I (0.000, 0.000, 0.500)
S (0.500, 0.500, 0.500)
Te (0.000, 0.500, 0.000)
Te (0.500, 0.000, 0.000)
Rh (0.000, 0.000, 0.000)

Values from the calculation:
symmetry	P4/mmm (123)
formation energy from raw total energies	0.597	eV/atom

---

Entry 7:
Entry from Alexandria: an optimized crystal structure of OsRhN2 (GGA-PBE).

Lattice parameters (Å, degrees): 4.618 4.618 5.643 65.84 65.84 90.00
Element x y z (fractional)
Rh (0.500, 0.500, 0.000)
Rh (0.250, 0.750, 0.500)
Os (0.000, 0.000, 0.000)
Os (0.750, 0.250, 0.500)
N (0.646, 0.125, 0.250)
N (0.104, 0.625, 0.250)
N (0.375, 0.354, 0.750)
N (0.875, 0.896, 0.750)

Values from the calculation:
symmetry	I-42d (122)
formation energy from raw total energies	0.468	eV/atom

---

Entry 8:
Entry from Alexandria: an optimized crystal structure of NdNiPb (GGA-PBE).

Lattice parameters (Å, degrees): 4.679 4.597 8.359 106.01 90.00 120.59
Element x y z (fractional)
Nd (0.739, 0.477, 0.228)
Nd (0.261, 0.523, 0.772)
Ni (0.131, 0.263, 0.407)
Ni (0.869, 0.737, 0.593)
Pb (0.500, 0.000, 0.500)
Pb (0.000, 0.000, 0.000)

Values from the calculation:
ΔH_f (0 K)	-298	meV/atom
symmetry	C2/m (12)

---

Entry 9:
Entry from Alexandria: an optimized crystal structure of NaAg3H (GGA-PBE).

Lattice parameters (Å, degrees): 5.202 5.202 5.202 90.00 90.00 90.00
Each line ends with the local moment (μB).
Element x y z (fractional)
Na (0.000, 0.000, 0.000)  0.00
Ag (0.000, 0.500, 0.000)  0.00
Ag (0.000, 0.000, 0.500)  0.00
Ag (0.500, 0.000, 0.000)  0.04
H (0.500, 0.500, 0.500)  0.33

Values from the calculation:
symmetry	Pm-3m (221)

---

Entry 10:
Entry from Alexandria: an optimized crystal structure of Te2Pb (GGA-PBE).

Lattice parameters (Å, degrees): 6.284 6.284 14.613 90.00 90.00 120.00
Element x y z (fractional)
Pb (0.333, 0.667, 0.925)
Pb (0.667, 0.333, 0.425)
Pb (0.667, 0.333, 0.075)
Pb (0.333, 0.667, 0.575)
Te (0.000, 0.000, 0.000)
Te (0.000, 0.000, 0.500)
Te (0.837, 0.675, 0.250)
Te (0.163, 0.325, 0.750)
Te (0.325, 0.163, 0.250)
Te (0.837, 0.163, 0.250)
Te (0.163, 0.837, 0.750)
Te (0.675, 0.837, 0.750)

Values from the calculation:
symmetry	P6_3/mmc (194)
formation energy from raw total energies	0.105	eV/atom

---

Entry 11:
Entry from Alexandria: an optimized crystal structure of Co2CuSi (GGA-PBE).

Lattice parameters (Å, degrees): 3.746 2.581 4.834 74.38 90.00 90.00
Each line ends with the local moment (μB).
Element x y z (fractional)
Co (0.000, 0.957, 0.960)  0.49
Co (0.500, 0.299, 0.277)  1.24
Cu (0.000, 0.697, 0.480)  0.04
Si (0.500, 0.547, 0.783)  -0.02

Values from the calculation:
symmetry	Pm (6)
formation energy from raw total energies	-0.099	eV/atom

---

Entry 12:
Entry from Alexandria: an optimized crystal structure of BaV2I2 (GGA-PBE).

Lattice parameters (Å, degrees): 5.384 5.384 6.182 64.18 64.18 90.00
Each line ends with the local moment (μB).
Element x y z (fractional)
I (0.750, 0.250, 0.500)  0.02
I (0.250, 0.750, 0.500)  0.02
Ba (0.000, 0.000, 0.000)  0.01
V (0.406, 0.406, 0.188)  0.41
V (0.594, 0.594, 0.812)  0.41

Values from the calculation:
symmetry	I4/mmm (139)
formation energy from raw total energies	-0.002	eV/atom

---

Number 1: N(E_F) 3.3 states/eV per cell, magnetic moment 0.0 Bohr magnetons per cell, raw total energy -2.92 eV per atom. Number 2: N(E_F) 5.6 states/eV per cell, magnetic moment 0.0 Bohr magnetons per cell, raw total energy -3.84 eV per atom. Number 3: N(E_F) 2.3 states/eV per cell, magnetic moment 0.0 Bohr magnetons per cell, raw total energy -3.25 eV per atom. Number 4: N(E_F) 2.2 states/eV per cell, magnetic moment 0.0 Bohr magnetons per cell, raw total energy -5.75 eV per atom. Number 5: N(E_F) 2.3 states/eV per cell, magnetic moment 0.0 Bohr magnetons per cell, raw total energy -4.36 eV per atom. Number 6: N(E_F) 6.6 states/eV per cell, magnetic moment 0.0 Bohr magnetons per cell, raw total energy -3.27 eV per atom. Number 7: N(E_F) 3.2 states/eV per cell, magnetic moment 0.0 Bohr magnetons per cell, raw total energy -8.34 eV per atom. Number 8: N(E_F) 6.8 states/eV per cell, magnetic moment 0.0 Bohr magnetons per cell, raw total energy -5.05 eV per atom. Number 9: N(E_F) 1.8 states/eV per cell, magnetic moment 0.8 Bohr magnetons per cell, raw total energy -1.40 eV per atom. Number 10: N(E_F) 13.1 states/eV per cell, magnetic moment 0.0 Bohr magnetons per cell, raw total energy -3.23 eV per atom. Number 11: N(E_F) 4.0 states/eV per cell, magnetic moment 1.7 Bohr magnetons per cell, raw total energy -6.03 eV per atom. Number 12: N(E_F) 3.4 states/eV per cell, magnetic moment 1.1 Bohr magnetons per cell, raw total energy -4.65 eV per atom.